Compound: Dy2SiRh
Source: Alexandria
Functional: PBE
Structure: relaxed

abc: 3.7139 4.7311 4.7311
angles: 90.00 90.00 90.00
Atoms (fractional coordinates):
Si 0.5000 0.0000 0.0000
Rh 0.5000 0.5000 0.5000
Dy 0.0000 0.0000 0.5000
Dy 0.0000 0.5000 0.0000

Results
ΔE_f (raw) = -700.4 meV/atom
ρ = 9.11 Mg/m³